1.
! CdIrOs2 SCAN PBEsol geometry; values from VASP
! Fermi-level density of states: 2.48 states/eV/f.u.
! Electronic total energy: -60.680 eV/atom
! Crystal system: orthorhombic
! Energy relative to the elements: 0.6382 eV/atom
&SYSTEM
  ibrav = 0, nat = 4, ntyp = 3
/
ATOMIC_SPECIES
Cd 112.41 Cd.upf
Os 190.23 Os.upf
Ir 192.22 Ir.upf
CELL_PARAMETERS angstrom
2.719 0.000 0.000
-1.359 2.360 0.000
0.000 0.000 9.582
ATOMIC_POSITIONS angstrom
Cd 1.359 0.000 4.791
Os 0.000 0.000 2.279
Os 0.000 0.000 7.303
Ir 1.359 0.000 0.000

***

2.
! Rb2CeTa6Br15O3 SCAN PBEsol geometry; values from VASP
! Energy relative to the elements, uncorrected: -43.2 eV/f.u.
! Electronic total energy: -31.086 eV/atom
! Crystal system: trigonal
&SYSTEM
  ibrav = 0, nat = 54, ntyp = 5
/
ATOMIC_SPECIES
Ta 180.95 Ta.upf
Br 79.90 Br.upf
Ce 140.12 Ce.upf
Rb 85.47 Rb.upf
O 16.00 O.upf
CELL_PARAMETERS angstrom
-5.944 6.632 3.022
2.951 -6.709 5.893
13.813 10.226 4.726
ATOMIC_POSITIONS angstrom
Ta 10.778 8.207 5.500
Ta 0.042 1.943 8.141
Ta -2.771 7.251 4.877
Ta 0.886 4.311 9.229
Ta 13.590 2.898 8.765
Ta 11.334 1.566 9.563
Ta 9.343 7.098 12.092
Ta -0.515 8.583 4.078
Ta 9.933 5.838 4.412
Ta 1.476 3.051 1.549
Ta 7.094 6.838 10.551
Ta 3.726 3.312 3.090
Br 2.387 1.066 7.524
Br 0.613 0.727 2.343
Br 1.958 7.430 4.061
Br 10.207 9.422 11.298
Br 8.433 9.083 6.118
Br 3.406 -4.338 5.140
Br 7.133 5.765 8.043
Br -2.742 4.650 5.702
Br 11.818 6.327 11.242
Br 8.861 2.719 9.581
Br 3.444 1.094 4.374
Br 9.460 3.607 5.909
Br 3.687 4.385 5.598
Br 6.333 11.426 7.185
Br 6.284 2.865 3.339
Br 7.414 14.488 8.501
Br 13.561 5.499 7.940
Br 1.359 6.542 7.733
Br 3.412 11.125 5.275
Br 4.486 -1.277 6.456
Br 7.375 9.055 9.267
Br -0.999 3.823 2.399
Br -0.543 -0.570 8.529
Br 11.363 10.719 5.112
Br 7.408 -0.976 8.366
Br -0.419 1.620 5.472
Br 3.467 4.060 8.989
Br 7.353 6.089 4.652
Br 11.239 8.529 8.169
Br 4.535 7.284 10.302
Ce 0.474 4.742 5.161
Ce 10.345 5.407 8.481
Rb 6.325 2.431 7.105
Rb 4.494 7.718 6.536
Rb 10.267 11.992 8.511
Rb 0.553 -1.842 5.130
O -0.859 6.742 4.730
O 0.468 3.724 7.381
O 9.005 6.390 10.270
O 11.679 3.407 8.911
O 1.814 3.759 3.371
O 10.352 6.425 6.260

***

3.
! SeCl2 SCAN PBEsol geometry; values from VASP
! Fermi-level density of states: 2.42 states/eV/f.u.
! Energy relative to the elements, uncorrected: 1.7 eV/f.u.
! Electronic total energy: -11.441 eV/atom
! Crystal system: tetragonal
&SYSTEM
  ibrav = 0, nat = 3, ntyp = 2
/
ATOMIC_SPECIES
Cl 35.45 Cl.upf
Se 78.96 Se.upf
CELL_PARAMETERS angstrom
3.119 0.000 0.000
0.000 3.119 0.000
-1.559 -1.559 6.178
ATOMIC_POSITIONS angstrom
Cl 1.559 1.559 1.755
Cl 0.000 0.000 4.423
Se 0.000 0.000 0.000

***

4.
! ScP2Ir SCAN PBEsol geometry; values from VASP
! Fermi-level density of states: 4.42 states/eV/f.u.
! Electronic total energy: -26.934 eV/atom
! Crystal system: cubic
! Energy relative to the elements: -0.4008 eV/atom
&SYSTEM
  ibrav = 0, nat = 4, ntyp = 3
/
ATOMIC_SPECIES
Sc 44.96 Sc.upf
P 30.97 P.upf
Ir 192.22 Ir.upf
CELL_PARAMETERS angstrom
-2.432 3.590 0.236
-3.740 0.237 -2.195
-3.780 -0.074 2.137
ATOMIC_POSITIONS angstrom
Sc -4.976 1.876 0.089
P -7.464 2.814 0.133
P -2.488 0.938 0.044
Ir 0.000 0.000 0.000